(1)
A plane-wave DFT calculation with GGA-PBE was carried out for crystalline Ba3Tl2Ga2Au4 at its relaxed geometry.

calculated total energy	-34.904	eV/cell

abc: 4.7979 4.7979 16.7322
angles: 90.00 90.00 120.00
With the nearest neighbours (Å) after each atom.
Space group P-3m1 (No. 164)
Unique sites:
Ba 0.0000 0.0000 0.0000 x1  6 Au 3.56, 6 Ga 3.59
Ba 0.0000 0.0000 0.2672 x2  6 Au 3.37-3.56, 3 Ga 3.53
Tl 0.3333 0.6667 0.5627 x2  4 Au 2.92-3.03
Ga 0.3333 0.6667 0.1361 x2  3 Au 2.77
Au 0.3333 0.6667 0.3818 x2  4 Tl 2.92-3.03
Au 0.3333 0.6667 0.8662 x2  3 Ga 2.77

=====

(2)
A plane-wave DFT calculation with GGA-PBE was carried out for crystalline ErLuOs at its relaxed geometry.

calculated total energy	-42.489	eV/cell

abc: 3.3555 3.3555 12.7855
angles: 90.00 90.00 90.00
With the nearest neighbours (Å) after each atom.
Space group I4mm (No. 107)
Unique sites:
Er 0.0000 0.0000 0.0000 x2  4 Os 2.89
Lu 0.0000 0.0000 0.7461 x2  4 Os 2.86
Os 0.0000 0.0000 0.3711 x2  4 Lu 2.86, 4 Er 2.89

=====

(3)
A plane-wave DFT calculation with GGA-PBE was carried out for crystalline HgOs2Ru at its relaxed geometry.

calculated total energy	-58.994	eV/cell

abc: 9.3629 2.8038 4.8618
angles: 90.00 100.15 90.00
With the nearest neighbours (Å) after each atom.
Space group C2/m (No. 12)
Unique sites:
Hg 0.0000 0.0000 0.0000 x2  6 Os 2.79-2.95, 2 Hg 2.80, 4 Ru 2.81
Os 0.2360 0.0000 0.7221 x4  4 Os 2.63-2.80, 3 Ru 2.68-2.87, 1 Hg 2.79
Ru 0.0000 0.5000 0.5000 x2  6 Os 2.68-2.87, 2 Ru 2.80, 4 Hg 2.81

=====

(4)
A plane-wave DFT calculation with GGA-PBE was carried out for crystalline TbZn4Pt at its relaxed geometry.

calculated total energy	-72.555	eV/cell

abc: 7.3528 7.3528 7.3528
angles: 90.00 90.00 90.00
With the nearest neighbours (Å) after each atom.
Space group F-43m (No. 216)
Unique sites:
Tb 0.0000 0.0000 0.0000 x4  12 Zn 3.05, 4 Pt 3.18
Zn 0.1242 0.1242 0.6242 x16  6 Zn 2.58-2.62
Pt 0.2500 0.2500 0.2500 x4  12 Zn 3.05, 4 Tb 3.18